No. 1
Computed, not measured: KFeAgTe3 after structural relaxation at the PBE-GGA level of DFT.

Calculated values
The calculation puts the magnetic moment at 2.39 μB/f.u.

```
data_KFeAgTe3
_space_group_name_H-M_alt 'C m c m'
_space_group_IT_number 63
_space_group_name_Hall '-C 2c 2'
_cell_length_a 3.981
_cell_length_b 15.682
_cell_length_c 10.965
_cell_angle_alpha 90.00
_cell_angle_beta 90.00
_cell_angle_gamma 90.00
loop_
_atom_site_label
_atom_site_fract_x
_atom_site_fract_y
_atom_site_fract_z
K1 0.000 0.236 0.250
Fe1 0.000 0.000 0.000
Ag1 0.000 0.448 0.750
Te1 0.000 0.073 0.750
Te2 0.000 0.385 0.518
```

No. 2
Computed, not measured: LaFeSi2Ag after structural relaxation at the PBE-GGA level of DFT.

Calculated values
The calculation puts the magnetic moment at 2.32 μB/f.u.

```
data_LaFeSi2Ag
_space_group_name_H-M_alt 'I -4 m 2'
_space_group_IT_number 119
_space_group_name_Hall 'I -4 -2'
_cell_length_a 4.221
_cell_length_b 4.221
_cell_length_c 10.298
_cell_angle_alpha 90.00
_cell_angle_beta 90.00
_cell_angle_gamma 90.00
loop_
_atom_site_label
_atom_site_fract_x
_atom_site_fract_y
_atom_site_fract_z
La1 0.000 0.000 0.000
Fe1 0.000 0.500 0.250
Si1 0.000 0.000 0.381
Ag1 0.000 0.500 0.750
```

| no. | DFT total energy (eV/atom) | calculated volume (Å³/cell) |
| --- | --- | --- |
| 1 | -3.804 | 684 |
| 2 | -5.799 | 183 |